Entry 1:
# Hf2Nb4Sn3N3, optimized geometry, DFT PBE
# Crystal system: monoclinic
# SG: No. 15
data_Hf2Nb4Sn3N3
_chemical_formula_sum 'Hf4 Nb8 Sn6 N6'
_cell_length_a 5.710
_cell_length_b 5.710
_cell_length_c 14.108
_cell_angle_alpha 101.49
_cell_angle_beta 101.49
_cell_angle_gamma 60.28
_space_group_name_H-M_alt 'P 1'
_space_group_IT_number 1
_space_group_name_Hall 'P 1'
loop_
_atom_site_label
_atom_site_type_symbol
_atom_site_fract_x
_atom_site_fract_y
_atom_site_fract_z
_atom_site_occupancy
Hf1 Hf 0.028 0.854 0.587 1
Hf2 Hf 0.146 0.972 0.913 1
Hf3 Hf 0.854 0.028 0.087 1
Hf4 Hf 0.972 0.146 0.413 1
Nb1 Nb 0.193 0.372 0.079 1
Nb2 Nb 0.320 0.460 0.421 1
Nb3 Nb 0.372 0.193 0.579 1
Nb4 Nb 0.460 0.320 0.921 1
Nb5 Nb 0.540 0.680 0.079 1
Nb6 Nb 0.628 0.807 0.421 1
Nb7 Nb 0.680 0.540 0.579 1
Nb8 Nb 0.807 0.628 0.921 1
Sn1 Sn 0.080 0.270 0.748 1
Sn2 Sn 0.270 0.080 0.248 1
Sn3 Sn 0.434 0.566 0.750 1
Sn4 Sn 0.566 0.434 0.250 1
Sn5 Sn 0.730 0.920 0.752 1
Sn6 Sn 0.920 0.730 0.252 1
N1 N 0.000 0.500 0.500 1
N2 N 0.154 0.694 0.000 1
N3 N 0.306 0.846 0.500 1
N4 N 0.500 0.000 0.000 1
N5 N 0.694 0.154 0.500 1
N6 N 0.846 0.306 0.000 1

Entry 2:
# NbTlAuSe3, optimized geometry, DFT PBE
# Crystal system: orthorhombic
# SG: No. 63
data_NbTlAuSe3
_chemical_formula_sum 'Nb2 Tl2 Au2 Se6'
_cell_length_a 7.916
_cell_length_b 7.916
_cell_length_c 10.175
_cell_angle_alpha 90.00
_cell_angle_beta 90.00
_cell_angle_gamma 153.32
_space_group_name_H-M_alt 'P 1'
_space_group_IT_number 1
_space_group_name_Hall 'P 1'
loop_
_atom_site_label
_atom_site_type_symbol
_atom_site_fract_x
_atom_site_fract_y
_atom_site_fract_z
_atom_site_occupancy
Nb1 Nb 0.000 0.000 0.000 1
Nb2 Nb 0.000 0.000 0.500 1
Tl1 Tl 0.242 0.758 0.750 1
Tl2 Tl 0.758 0.242 0.250 1
Au1 Au 0.448 0.552 0.250 1
Au2 Au 0.552 0.448 0.750 1
Se1 Se 0.075 0.925 0.250 1
Se2 Se 0.375 0.625 0.027 1
Se3 Se 0.375 0.625 0.473 1
Se4 Se 0.625 0.375 0.527 1
Se5 Se 0.625 0.375 0.973 1
Se6 Se 0.925 0.075 0.750 1

Entry 3:
# AlCuPtW, optimized geometry, DFT PBE
# Polymorph energy (0 for the lowest one) in meV/atom: 51
# Crystal system: cubic
# SG: No. 216
data_AlCuPtW
_chemical_formula_sum 'Al1 Cu1 Pt1 W1'
_cell_length_a 4.389
_cell_length_b 4.389
_cell_length_c 4.389
_cell_angle_alpha 60.00
_cell_angle_beta 60.00
_cell_angle_gamma 60.00
_space_group_name_H-M_alt 'P 1'
_space_group_IT_number 1
_space_group_name_Hall 'P 1'
loop_
_atom_site_label
_atom_site_type_symbol
_atom_site_fract_x
_atom_site_fract_y
_atom_site_fract_z
_atom_site_occupancy
Al1 Al 0.000 0.000 0.000 1
Cu1 Cu 0.250 0.250 0.250 1
Pt1 Pt 0.500 0.500 0.500 1
W1 W 0.750 0.750 0.750 1

Entry 4:
# MoPdPt, optimized geometry, DFT PBE
# Polymorph energy (0 for the lowest one) in meV/atom: 610
# Crystal system: cubic
# SG: No. 216
data_MoPdPt
_chemical_formula_sum 'Mo1 Pd1 Pt1'
_cell_length_a 4.266
_cell_length_b 4.266
_cell_length_c 4.266
_cell_angle_alpha 60.00
_cell_angle_beta 60.00
_cell_angle_gamma 60.00
_space_group_name_H-M_alt 'P 1'
_space_group_IT_number 1
_space_group_name_Hall 'P 1'
loop_
_atom_site_label
_atom_site_type_symbol
_atom_site_fract_x
_atom_site_fract_y
_atom_site_fract_z
_atom_site_occupancy
Mo1 Mo 0.000 0.000 0.000 1
Pd1 Pd 0.750 0.750 0.750 1
Pt1 Pt 0.250 0.250 0.250 1

Entry 5:
# AcScRe, optimized geometry, DFT PBE
# Polymorph energy (0 for the lowest one) in meV/atom: 0
# Crystal system: cubic
# SG: No. 216
data_AcScRe
_chemical_formula_sum 'Ac1 Sc1 Re1'
_cell_length_a 4.844
_cell_length_b 4.844
_cell_length_c 4.844
_cell_angle_alpha 60.00
_cell_angle_beta 60.00
_cell_angle_gamma 60.00
_space_group_name_H-M_alt 'P 1'
_space_group_IT_number 1
_space_group_name_Hall 'P 1'
loop_
_atom_site_label
_atom_site_type_symbol
_atom_site_fract_x
_atom_site_fract_y
_atom_site_fract_z
_atom_site_occupancy
Ac1 Ac 0.000 0.000 0.000 1
Sc1 Sc 0.500 0.500 0.500 1
Re1 Re 0.750 0.750 0.750 1

Entry 6:
# LaNdIn2, optimized geometry, DFT PBE
# Crystal system: orthorhombic
# SG: No. 38
data_LaNdIn2
_chemical_formula_sum 'La1 Nd1 In2'
_cell_length_a 4.490
_cell_length_b 6.439
_cell_length_c 6.439
_cell_angle_alpha 43.04
_cell_angle_beta 90.00
_cell_angle_gamma 90.00
_space_group_name_H-M_alt 'P 1'
_space_group_IT_number 1
_space_group_name_Hall 'P 1'
loop_
_atom_site_label
_atom_site_type_symbol
_atom_site_fract_x
_atom_site_fract_y
_atom_site_fract_z
_atom_site_occupancy
La1 La 0.000 0.000 0.000 1
Nd1 Nd 0.500 0.282 0.282 1
In1 In 0.000 0.723 0.723 1
In2 In 0.500 0.564 0.564 1

Uncorrected energy values, unit eV per atom, following the record order: -8.841; -4.735; -6.567; -7.007; -7.199; -4.245.